Arrangement P

! LuZnFeTc PBE-GGA optimized geometry; values from VASP
! - Space-group type: No. 216
&SYSTEM
  ibrav = 0, nat = 4, ntyp = 4
/
ATOMIC_SPECIES
Fe 55.84 Fe.upf
Lu 174.97 Lu.upf
Tc 98.00 Tc.upf
Zn 65.41 Zn.upf
CELL_PARAMETERS angstrom
0.000 3.181 3.181
3.181 0.000 3.181
3.181 3.181 0.000
ATOMIC_POSITIONS angstrom
Fe 4.771 4.771 4.771
Lu 3.181 3.181 3.181
Tc 1.590 1.590 1.590
Zn 0.000 0.000 0.000


Arrangement Q

! LuZnFeTc PBE-GGA optimized geometry; values from VASP
! - Space-group type: No. 216
&SYSTEM
  ibrav = 0, nat = 4, ntyp = 4
/
ATOMIC_SPECIES
Fe 55.84 Fe.upf
Lu 174.97 Lu.upf
Tc 98.00 Tc.upf
Zn 65.41 Zn.upf
CELL_PARAMETERS angstrom
-2.765 -1.181 -3.386
-3.910 2.204 -0.603
-0.523 2.750 -3.559
ATOMIC_POSITIONS angstrom
Fe -5.399 2.829 -5.662
Lu -1.800 0.943 -1.887
Tc -3.599 1.886 -3.774
Zn 0.000 0.000 0.000


The computed energies, referenced to the most stable structure and given in eV/atom, are arrangement P 0.046; arrangement Q 0.000.